Here is a relaxed CsTiSbSe4 crystal from Alexandria via LeMat-Bulk. Energies are from PBE-GGA.

Calculated values
The calculation puts the raw formation energy at -835 meV per atom. As for the total DFT energy (no corrections): -4.664 eV/atom.

CIF file:
```
data_CsTiSbSe4
_cell_length_a 6.847
_cell_length_b 7.709
_cell_length_c 10.018
_cell_angle_alpha 90.00
_cell_angle_beta 109.33
_cell_angle_gamma 90.00
_symmetry_space_group_name_H-M 'P 1 21/m 1'
_symmetry_Int_Tables_number 11
_symmetry_space_group_name_Hall '-P 2yb'
loop_
_atom_site_label
_atom_site_fract_x
_atom_site_fract_y
_atom_site_fract_z
Cs1 0.214 0.250 0.412
Ti1 0.128 0.250 0.814
Sb1 0.354 0.750 0.120
Se1 0.096 0.250 0.038
Se2 0.231 0.750 0.348
Se3 0.337 0.007 0.789
```